Entry from the Open Quantum Materials Database: a relaxed HfScTeC crystal (GGA-PBE).

```
HfScTeC
1.0
3.5195 0.0000 0.0000
-1.7598 3.0480 0.0000
0.0000 0.0000 13.3273
Hf Sc Te C
2 2 2 2
direct
0.0000 0.0000 0.1620
0.0000 0.0000 0.8380
0.3333 0.6667 0.3385
0.3333 0.6667 0.6615
0.0000 0.0000 0.5000
0.3333 0.6667 0.0000
0.6667 0.3333 0.2447
0.6667 0.3333 0.7553
```

* polymorph energy (0 for the lowest one): 8.7 meV/atom
* size of the total moment: 0.0 μB/f.u.
* calculated volume: 143.0 Å³/cell